# HfNiNF2 | Alexandria | PBE+U | optimized geometry
data_HfNiNF2
_chemical_formula_sum 'Hf1 Ni1 N1 F2'
_space_group_name_H-M_alt 'P 4/m m m'
_space_group_IT_number 123
_space_group_name_Hall '-P 4 2'
_cell_length_a 4.096
_cell_length_b 4.096
_cell_length_c 4.204
_cell_angle_alpha 90.00
_cell_angle_beta 90.00
_cell_angle_gamma 90.00
loop_
_atom_site_label
_atom_site_fract_x
_atom_site_fract_y
_atom_site_fract_z
_atom_site_occupancy
Hf1 0.000 0.000 0.000 1
Ni1 0.500 0.500 0.500 1
N1 0.000 0.000 0.500 1
F1 0.000 0.500 0.000 1
# Density = 6808 kg/m3
# Offset from the most stable computed form = 0.000 eV/f.u.
# Calculated volume = 70.5 Å³/cell
# Magnetization = 1.03 μB per formula unit